Record 1
{
  "formula": "Ba2ThPaP4",
  "functional": "GGA-PBE",
  "state": "relaxed",
  "volume_a3_per_atom": 28.68,
  "formation_enthalpy_0k_ev_per_atom": -1.25,
  "dos_ef_per_ev_atom": 0.51,
  "cell": [[4.257, 0.000, 0.000], [0.000, 7.360, 0.125], [0.000, -2.578, 7.279]],
  "species": ["P", "P", "P", "P", "Th", "Pa", "Ba", "Ba"],
  "fractional_positions": [[0.000, 0.723, 0.200], [0.500, 0.247, 0.205], [0.500, 0.753, 0.795], [0.000, 0.277, 0.800], [0.000, 0.000, 0.000], [0.500, 0.500, 0.000], [0.500, 0.000, 0.500], [0.000, 0.500, 0.500]]
}

---

Record 2
{
  "formula": "Ba3Tm2PaP6",
  "functional": "GGA-PBE",
  "state": "relaxed",
  "volume_a3_per_atom": 27.79,
  "formation_enthalpy_0k_ev_per_atom": -1.18,
  "dos_ef_per_ev_atom": 0.92,
  "cell": [[-1.094, -7.037, -1.527], [2.722, 1.943, 6.470], [-7.270, 2.161, 1.042]],
  "species": ["P", "P", "P", "P", "P", "P", "Ba", "Ba", "Ba", "Tm", "Tm", "Pa"],
  "fractional_positions": [[0.067, 0.393, 0.201], [0.741, 0.741, 0.202], [0.933, 0.607, 0.799], [0.607, 0.933, 0.799], [0.259, 0.259, 0.798], [0.393, 0.067, 0.201], [0.169, 0.831, 0.500], [0.500, 0.500, 0.500], [0.831, 0.169, 0.500], [0.334, 0.666, 0.000], [0.666, 0.334, 0.000], [0.000, 0.000, 0.000]]
}

---

Record 3
{
  "formula": "Ba2YPaP4",
  "functional": "GGA-PBE",
  "state": "relaxed",
  "volume_a3_per_atom": 28.19,
  "formation_enthalpy_0k_ev_per_atom": -1.24,
  "dos_ef_per_ev_atom": 0.02,
  "cell": [[-1.192, -2.460, -3.259], [4.696, -5.110, 2.140], [-6.763, -1.291, 3.448]],
  "species": ["P", "P", "P", "P", "Ba", "Ba", "Pa", "Y"],
  "fractional_positions": [[0.500, 0.776, 0.800], [0.000, 0.747, 0.203], [0.500, 0.224, 0.200], [0.000, 0.253, 0.797], [0.500, 0.000, 0.500], [0.000, 0.500, 0.500], [0.000, 0.000, 0.000], [0.500, 0.500, 0.000]]
}

---

What is the formula in the second record?
Ba3Tm2PaP6